The following is a DFT calculation (PBE-GGA) of a relaxed structure of Li6Tl3Sn.

a = 4.868 Å, b = 8.227 Å, c = 10.716 Å
α = 110.91°, β = 90.00°, γ = 90.00°
Sites, in units of the cell vectors:
Li 0.250 0.449 0.110
Li 0.750 0.551 0.890
Li 0.250 0.145 0.229
Li 0.750 0.855 0.771
Li 0.250 0.630 0.722
Li 0.750 0.370 0.278
Li 0.250 0.215 0.520
Li 0.750 0.785 0.480
Li 0.250 0.863 0.339
Li 0.750 0.137 0.661
Li 0.250 0.037 0.916
Li 0.750 0.963 0.084
Tl 0.250 0.533 0.407
Tl 0.750 0.467 0.593
Tl 0.250 0.334 0.813
Tl 0.750 0.666 0.187
Tl 0.250 0.761 0.014
Tl 0.750 0.239 0.986
Sn 0.250 0.918 0.632
Sn 0.750 0.082 0.368

energy relative to the lowest polymorph listed for this composition: 0.000 eV per formula unit

---

The following is a DFT calculation (PBE-GGA) of a relaxed structure of PrZn2F8.

a = 5.542 Å, b = 5.542 Å, c = 6.732 Å
α = 114.31°, β = 114.31°, γ = 90.00°
Sites, in units of the cell vectors:
Pr 0.500 0.500 0.000
Zn 0.750 0.250 0.500
Zn 0.250 0.750 0.500
F 0.794 0.323 0.261
F 0.062 0.533 0.739
F 0.677 0.206 0.739
F 0.206 0.062 0.739
F 0.467 0.938 0.261
F 0.938 0.794 0.261
F 0.323 0.467 0.261
F 0.533 0.677 0.739

formation energy without anion corrections: -2.646 eV/atom